[1]
A plane-wave DFT calculation with PBE was carried out for crystalline SiAgHg2 at its relaxed geometry.

Properties
Total moment   0.000 μB per cell
Symmetry   P4mm (99)
VASP energy   -1.92 eV/atom
Formation energy from raw total energies   6.8 kcal/mol of atoms
Crystal system   tetragonal

Unit cell a=3.021 b=3.021 c=9.270 alpha=90.00 beta=90.00 gamma=90.00
Element x y z (fractional)
Si  0.000  0.000  0.000
Ag  0.500  0.500  0.190
Hg  0.000  0.000  0.441
Hg  0.500  0.500  0.733



[2]
A plane-wave DFT calculation with PBE was carried out for crystalline Nb5Mo2W at its relaxed geometry.

Properties
Total moment   0.000 μB per cell
Symmetry   Pbam (55)
VASP energy   -10.61 eV/atom
Crystal system   orthorhombic
ΔE_f   0.0084 eV/atom

Unit cell a=5.522 b=10.904 c=4.636 alpha=90.00 beta=90.00 gamma=90.00
Element x y z (fractional)
Nb  0.000  0.000  0.000
Nb  0.155  0.256  0.000
Nb  0.163  0.619  0.500
Nb  0.337  0.119  0.500
Nb  0.345  0.756  0.000
Nb  0.500  0.500  0.000
Nb  0.655  0.244  0.000
Nb  0.663  0.881  0.500
Nb  0.837  0.381  0.500
Nb  0.845  0.744  0.000
Mo  0.166  0.879  0.500
Mo  0.334  0.379  0.500
Mo  0.666  0.621  0.500
Mo  0.834  0.121  0.500
W  0.000  0.500  0.000
W  0.500  0.000  0.000



[3]
A plane-wave DFT calculation with PBE was carried out for crystalline Rb3Y2Br9 at its relaxed geometry.

Properties
Total moment   0.000 μB per cell
Symmetry   R-3c (167)
VASP energy   -4.05 eV/atom
Formation energy from raw total energies   -42.5 kcal/mol of atoms
Crystal system   trigonal

Unit cell a=10.275 b=10.275 c=10.275 alpha=83.72 beta=83.72 gamma=83.72
Element x y z (fractional)
Rb  0.081  0.750  0.419
Rb  0.250  0.581  0.919
Rb  0.419  0.081  0.750
Rb  0.581  0.919  0.250
Rb  0.750  0.419  0.081
Rb  0.919  0.250  0.581
Y  0.150  0.150  0.150
Y  0.350  0.350  0.350
Y  0.650  0.650  0.650
Y  0.850  0.850  0.850
Br  0.077  0.270  0.916
Br  0.084  0.923  0.730
Br  0.093  0.407  0.250
Br  0.230  0.423  0.584
Br  0.250  0.093  0.407
Br  0.270  0.916  0.077
Br  0.407  0.250  0.093
Br  0.416  0.770  0.577
Br  0.423  0.584  0.230
Br  0.577  0.416  0.770
Br  0.584  0.230  0.423
Br  0.593  0.750  0.907
Br  0.730  0.084  0.923
Br  0.750  0.907  0.593
Br  0.770  0.577  0.416
Br  0.907  0.593  0.750
Br  0.916  0.077  0.270
Br  0.923  0.730  0.084



[4]
A plane-wave DFT calculation with PBE was carried out for crystalline AcSi2SbPt5 at its relaxed geometry.

Properties
Total moment   0.000 μB per cell
Symmetry   P4/mmm (123)
VASP energy   -6.18 eV/atom
Formation energy from raw total energies   -16.3 kcal/mol of atoms
Crystal system   tetragonal

Unit cell a=4.194 b=4.194 c=10.761 alpha=90.00 beta=90.00 gamma=90.00
Element x y z (fractional)
Ac  0.000  0.000  0.000
Si  0.500  0.500  0.220
Si  0.500  0.500  0.780
Sb  0.000  0.000  0.500
Pt  0.000  0.500  0.327
Pt  0.000  0.500  0.673
Pt  0.500  0.000  0.327
Pt  0.500  0.000  0.673
Pt  0.500  0.500  0.000



[5]
A plane-wave DFT calculation with PBE was carried out for crystalline Pr2NdTl3Te6 at its relaxed geometry.

Properties
Total moment   0.000 μB per cell
Symmetry   C2/m (12)
VASP energy   -4.43 eV/atom
Formation energy from raw total energies   -24.8 kcal/mol of atoms
Crystal system   monoclinic

Unit cell a=7.953 b=7.953 c=8.595 alpha=98.87 beta=98.87 gamma=120.00
Element x y z (fractional)
Pr  0.167  0.833  0.000
Pr  0.833  0.167  0.000
Nd  0.500  0.500  0.000
Tl  0.000  0.000  0.500
Tl  0.333  0.667  0.500
Tl  0.667  0.333  0.500
Te  0.094  0.426  0.779
Te  0.242  0.242  0.222
Te  0.426  0.094  0.779
Te  0.574  0.906  0.221
Te  0.758  0.758  0.778
Te  0.906  0.574  0.221



[6]
A plane-wave DFT calculation with PBE was carried out for crystalline UMnCrSi2 at its relaxed geometry.

Properties
Total moment   4.667 μB per cell
Symmetry   I-4m2 (119)
VASP energy   -8.49 eV/atom
Formation energy from raw total energies   -7.1 kcal/mol of atoms
Crystal system   tetragonal

Unit cell a=5.752 b=5.752 c=5.752 alpha=140.09 beta=140.09 gamma=57.72
Element x y z (fractional)
U  0.000  0.000  0.000
Mn  0.250  0.750  0.500
Cr  0.750  0.250  0.500
Si  0.382  0.382  0.000
Si  0.618  0.618  0.000